This record from Alexandria via LeMat-Bulk describes a geometry-optimized LaCuW3 structure. The functional is GGA-PBE.

Values from the calculation:
- Crystal system: cubic
- DFT total energy: -39.75 eV/cell
- Relative energy among the computed polymorphs: 0 meV/atom

Cell lengths 4.7057, 4.7057, 4.7057 Å; angles 90.00, 90.00, 90.00 degrees
Last column: nearest neighbours and their distance in Å.
Fractional positions:
Cu 0.0000 0.0000 0.0000  6 W 2.35
W 0.0000 0.5000 0.0000  2 Cu 2.35
W 0.0000 0.0000 0.5000  2 Cu 2.35
W 0.5000 0.0000 0.0000  2 Cu 2.35
La 0.5000 0.5000 0.5000  12 W 3.33


This record from Alexandria via LeMat-Bulk describes a geometry-optimized Mn2AsP structure. The functional is GGA-PBE.

Values from the calculation:
- Crystal system: monoclinic
- DFT total energy: -28.81 eV/cell

Cell lengths 2.8479, 2.8419, 6.4477 Å; angles 63.95, 90.00, 90.00 degrees
Last column: nearest neighbours and their distance in Å.
Fractional positions:
As 0.5000 0.7500 0.7500  8 Mn 2.54-2.55, 2 As 2.84
Mn 0.0000 0.9806 0.0185  4 P 2.42, 4 As 2.54-2.55, 1 Mn 2.68
Mn 0.0000 0.5194 0.4815  4 P 2.42, 4 As 2.54-2.55, 1 Mn 2.68
P 0.5000 0.2500 0.2500  8 Mn 2.42


Number 1: formation enthalpy at 0 K 156.9 kJ per mole of atoms. Number 2: formation enthalpy at 0 K -10.0 kJ per mole of atoms.